(1)
Sm2GaSi3, optimized geometry, DFT PBE-GGA; total energy = -32.40 eV for the cell shown; size of the total moment = 0.0 Bohr magnetons per cell
1.0
4.064 0.000 0.000
0.000 4.109 0.000
0.000 0.000 7.330
Sm Ga Si
2 1 3
Cartesian
0.000 0.000 0.000
2.032 0.000 3.551
0.000 2.055 4.830
0.000 2.055 2.390
2.032 2.055 1.168
2.032 2.055 6.113


(2)
CaYOs2, optimized geometry, DFT PBE-GGA; calculated formation energy = 47.0 kJ per mole of atoms; total energy = -28.98 eV for the cell shown; size of the total moment = 0.0 Bohr magnetons per cell
1.0
3.503 0.000 0.000
0.000 3.503 0.000
0.000 0.000 6.662
Ca Y Os
1 1 2
Cartesian
0.000 0.000 0.000
0.000 0.000 3.331
1.751 1.751 1.836
1.751 1.751 4.825